5
Lattice="-0.836 0.952 -3.894 3.542 -1.689 -1.173 -2.015 -6.836 -3.393" Properties=species:S:1:pos:R:3 comment="MgIn2As2 | Alexandria | PBE-GGA | relaxed" ef_ev_per_fu=0.34 dft_energy_ev_per_atom=-3.21 n_ef_per_ev_atom=0.48 crystal_system=tetragonal pbc="T T T"
As 0.777 -1.475 -2.681
As -0.086 -6.097 -5.780
Mg 0.000 0.000 0.000
In -0.749 -3.126 -4.910
In 1.440 -4.446 -3.550

***

8
Lattice="-1.922 7.918 1.506 -7.867 -2.180 1.420 -4.279 2.482 4.280" Properties=species:S:1:pos:R:3 comment="MgIn2As | Alexandria | PBE-GGA | relaxed" ef_ev_per_fu=-0.38 dft_energy_ev_per_atom=-3.02 n_ef_per_ev_atom=0.31 crystal_system=tetragonal pbc="T T T"
As 0.000 0.000 0.000
As -5.548 6.634 3.625
Mg -4.894 2.869 1.463
Mg -8.520 1.585 3.582
In -3.327 5.596 2.246
In -6.154 -0.052 2.089
In -6.582 4.096 4.254
In -12.072 6.800 5.825

***

4
Lattice="3.476 0.000 0.000 0.000 3.476 0.000 0.000 0.000 7.425" Properties=species:S:1:pos:R:3 comment="MgInAs2 | Alexandria | PBE-GGA | relaxed" ef_ev_per_fu=0.11 dft_energy_ev_per_atom=-3.38 n_ef_per_ev_atom=0.31 crystal_system=tetragonal pbc="T T T"
As 0.000 0.000 0.183
As 1.738 1.738 1.344
In 0.000 0.000 3.759
Mg 1.738 1.738 5.851

***

4
Lattice="-1.451 -4.120 -4.130 2.126 -1.503 4.125 -2.794 -2.554 1.525" Properties=species:S:1:pos:R:3 comment="MgInAs2 | Alexandria | PBE-GGA | relaxed" ef_ev_per_fu=-0.25 dft_energy_ev_per_atom=-3.47 n_ef_per_ev_atom=0.35 crystal_system=monoclinic pbc="T T T"
As 0.000 0.000 0.000
As -2.123 -3.337 -1.302
In -0.334 -2.028 2.825
Mg 0.337 -2.811 -0.002

***

4
Lattice="-5.255 0.379 1.576 -0.133 -0.516 5.474 3.020 3.286 -3.213" Properties=species:S:1:pos:R:3 comment="MgIn2As | Alexandria | PBE-GGA | relaxed" ef_ev_per_fu=-0.05 dft_energy_ev_per_atom=-2.94 n_ef_per_ev_atom=0.47 crystal_system=tetragonal pbc="T T T"
As -2.465 1.799 0.944
In 0.000 0.000 0.000
In 0.096 1.351 2.893
Mg -2.694 -0.068 3.525

***

4
Lattice="-1.483 -2.484 3.866 1.029 -3.327 -3.345 3.595 -0.166 1.272" Properties=species:S:1:pos:R:3 comment="MgInAs2 | Alexandria | PBE-GGA | relaxed" ef_ev_per_fu=-0.10 dft_energy_ev_per_atom=-3.43 n_ef_per_ev_atom=0.47 crystal_system=orthorhombic pbc="T T T"
As 0.000 0.000 0.000
As -0.227 -2.905 0.261
In 1.056 -1.325 2.569
Mg 2.312 -1.747 -1.036

***

20
Lattice="-3.524 3.166 -2.635 -5.270 -2.159 3.434 0.333 4.927 4.454" Properties=species:S:1:pos:R:3 comment="Mg2InAsO6 | Alexandria | PBE-GGA | relaxed" dft_energy_ev_per_atom=-5.91 n_ef_per_ev_atom=0.00 crystal_system=monoclinic pbc="T T T"
Mg -4.609 1.847 4.731
Mg -3.163 1.148 1.645
Mg -3.852 4.087 0.523
Mg -5.298 4.786 3.609
In -5.652 -0.736 2.866
In -2.809 6.670 2.388
As -2.091 3.767 3.515
As -6.370 2.167 1.739
O -5.425 2.129 6.549
O -2.444 0.742 -0.191
O -3.036 3.805 -1.295
O -6.017 5.192 5.445
O -5.889 1.339 3.314
O -3.539 -0.440 2.760
O -2.572 4.595 1.940
O -4.922 6.374 2.494
O -6.647 3.760 2.559
O -4.660 2.386 1.180
O -1.814 2.175 2.695
O -3.801 3.548 4.074

***

5
Lattice="5.069 0.000 0.000 0.000 4.792 0.000 0.000 0.000 5.069" Properties=species:S:1:pos:R:3 comment="MgInAs2P | Alexandria | PBE-GGA | relaxed" ef_ev_per_fu=3.13 dft_energy_ev_per_atom=-3.18 n_ef_per_ev_atom=0.87 crystal_system=tetragonal pbc="T T T"
P 0.000 2.396 0.000
As 0.000 0.000 2.535
As 2.535 0.000 0.000
Mg 0.000 0.000 0.000
In 2.535 2.396 2.535